1.
DFT (GGA-PBE) results for a geometry-optimized HPdO2 structure.

```
data_HPdO2
_chemical_formula_sum 'H4 Pd4 O8'
_space_group_name_H-M_alt 'I 4/m c m'
_space_group_IT_number 140
_space_group_name_Hall '-I 4 2c'
_cell_length_a 5.189
_cell_length_b 5.189
_cell_length_c 5.004
_cell_angle_alpha 90.00
_cell_angle_beta 90.00
_cell_angle_gamma 90.00
loop_
_atom_site_label
_atom_site_type_symbol
_atom_site_fract_x
_atom_site_fract_y
_atom_site_fract_z
H1 H 0.000 0.500 0.250
Pd1 Pd 0.000 0.000 0.250
O1 O 0.158 0.342 0.000
```

size of the total moment = 0.00 μB per cell
energy = -4.100 eV per atom

***

2.
DFT (GGA-PBE) results for a geometry-optimized HPdO2 structure.

```
data_HPdO2
_chemical_formula_sum 'H4 Pd4 O8'
_space_group_name_H-M_alt 'P n a 21'
_space_group_IT_number 33
_space_group_name_Hall 'P 2c -2n'
_cell_length_a 7.660
_cell_length_b 5.465
_cell_length_c 4.354
_cell_angle_alpha 90.00
_cell_angle_beta 90.00
_cell_angle_gamma 90.00
loop_
_atom_site_label
_atom_site_type_symbol
_atom_site_fract_x
_atom_site_fract_y
_atom_site_fract_z
H1 H 0.209 0.105 0.000
Pd1 Pd 0.001 0.737 0.056
O1 O 0.107 0.558 0.724
O2 O 0.109 0.046 0.873
```

size of the total moment = 4.00 μB per cell
energy = -5.082 eV per atom

***

Repeat the first record exactly.
DFT (GGA-PBE) results for a geometry-optimized HPdO2 structure.

```
data_HPdO2
_chemical_formula_sum 'H4 Pd4 O8'
_space_group_name_H-M_alt 'I 4/m c m'
_space_group_IT_number 140
_space_group_name_Hall '-I 4 2c'
_cell_length_a 5.189
_cell_length_b 5.189
_cell_length_c 5.004
_cell_angle_alpha 90.00
_cell_angle_beta 90.00
_cell_angle_gamma 90.00
loop_
_atom_site_label
_atom_site_type_symbol
_atom_site_fract_x
_atom_site_fract_y
_atom_site_fract_z
H1 H 0.000 0.500 0.250
Pd1 Pd 0.000 0.000 0.250
O1 O 0.158 0.342 0.000
```

size of the total moment = 0.00 μB per cell
energy = -4.100 eV per atom

***

Question: What is the formula in the first record?
Answer: HPdO2

***

Question: Among the records above, which one has the lowest size of the total moment?
Answer: number 1